The following is a DFT calculation (PBE) of an optimized crystal structure of PrPuPdAu.

a = 5.157 Å, b = 5.157 Å, c = 5.157 Å
α = 60.00°, β = 60.00°, γ = 60.00°
Site moments in Bohr magnetons follow the coordinates.
Atoms (fractional coordinates):
Pr1 0.250 0.250 0.250  0.10
Au1 0.000 0.000 0.000  0.03
Pd1 0.500 0.500 0.500  -0.01
Pu1 0.750 0.750 0.750  5.40

## Properties
As for the final energy: -7.4268 eV/atom. The volume is 24.24 Å³ per atom.